w) Compound: MnFeCo2
Source: Alexandria via LeMat-Bulk
Functional: PBE
Structure: optimized geometry

Lattice parameters (Å, degrees): 2.481 2.481 8.031 90.00 90.00 110.85
Site moments in Bohr magnetons follow the coordinates.
Sites, in units of the cell vectors:
Co 0.000 0.000 0.002  1.75
Co 0.000 0.000 0.498  1.75
Fe 0.500 0.500 0.250  2.66
Mn 0.500 0.500 0.750  2.47

Output
The value obtained for the total magnetization is 8.61 μB/f.u. Its space group is Cmmm. The value obtained for the density of states at the Fermi level is 1.13 states/eV per atom. For the volume, the calculation gives 46.19 Å³/cell.

x) Compound: MnFeCo2
Source: Alexandria via LeMat-Bulk
Functional: PBE
Structure: optimized geometry

Lattice parameters (Å, degrees): 8.278 8.278 8.278 17.24 17.24 17.24
Site moments in Bohr magnetons follow the coordinates.
Sites, in units of the cell vectors:
Co 0.001 0.001 0.001  0.99
Co 0.499 0.499 0.499  0.99
Fe 0.250 0.250 0.250  2.34
Mn 0.750 0.750 0.750  -1.09

Output
The value obtained for the total magnetization is 3.16 μB/f.u. Its space group is R-3m. The value obtained for the density of states at the Fermi level is 1.27 states/eV per atom. For the volume, the calculation gives 43.46 Å³/cell.

The least stable of them is x).

w) Compound: MnFeCo2
Source: Alexandria via LeMat-Bulk
Functional: PBE
Structure: optimized geometry

Lattice parameters (Å, degrees): 2.834 2.834 5.744 90.00 90.00 90.00
Site moments in Bohr magnetons follow the coordinates.
Sites, in units of the cell vectors:
Co 0.000 0.000 0.001  1.61
Co 0.500 0.500 0.253  1.78
Fe 0.000 0.000 0.491  2.46
Mn 0.500 0.500 0.755  2.63

Output
The value obtained for the total magnetization is 8.46 μB/f.u. Its space group is P4mm. The value obtained for the density of states at the Fermi level is 1.34 states/eV per atom. For the volume, the calculation gives 46.12 Å³/cell.

x) Compound: MnFeCo2
Source: Alexandria via LeMat-Bulk
Functional: PBE
Structure: optimized geometry

Lattice parameters (Å, degrees): 4.043 4.043 2.849 90.00 90.00 90.00
Site moments in Bohr magnetons follow the coordinates.
Sites, in units of the cell vectors:
Co 0.000 0.000 0.000  1.59
Co 0.500 0.500 0.000  1.59
Fe 0.500 0.000 0.500  2.84
Mn 0.000 0.500 0.500  2.95

Output
The value obtained for the total magnetization is 8.95 μB/f.u. Its space group is P4/mmm. The value obtained for the density of states at the Fermi level is 0.47 states/eV per atom. For the volume, the calculation gives 46.56 Å³/cell.

y) Compound: MnFeCo2
Source: Alexandria via LeMat-Bulk
Functional: PBE
Structure: optimized geometry

Lattice parameters (Å, degrees): 4.713 4.713 2.484 79.54 79.54 116.54
Site moments in Bohr magnetons follow the coordinates.
Sites, in units of the cell vectors:
Co 0.000 0.000 0.000  1.76
Co 0.500 0.500 0.000  1.76
Fe 0.500 0.000 0.500  2.54
Mn 0.000 0.500 0.500  2.68

Output
The value obtained for the total magnetization is 8.74 μB/f.u. Its space group is C2/m. The value obtained for the density of states at the Fermi level is 1.03 states/eV per atom. For the volume, the calculation gives 46.31 Å³/cell.

z) Compound: MnFeCo2
Source: Alexandria via LeMat-Bulk
Functional: PBE
Structure: optimized geometry

Lattice parameters (Å, degrees): 4.359 4.359 4.360 132.34 132.34 69.69
Site moments in Bohr magnetons follow the coordinates.
Sites, in units of the cell vectors:
Mn 0.750 0.250 0.500  -2.64
Co 0.000 0.000 0.000  1.07
Co 0.250 0.750 0.500  0.98
Fe 0.500 0.500 0.000  2.29

Output
The value obtained for the total magnetization is 1.61 μB/f.u. Its space group is I-4m2. The value obtained for the density of states at the Fermi level is 0.84 states/eV per atom. For the volume, the calculation gives 44.39 Å³/cell.

The least stable of them is w).

w) Compound: MnFe6Co
Source: Alexandria via LeMat-Bulk
Functional: PBE
Structure: optimized geometry

Lattice parameters (Å, degrees): 4.003 4.003 6.956 73.28 73.28 60.00
Site moments in Bohr magnetons follow the coordinates.
Sites, in units of the cell vectors:
Mn 0.500 0.500 0.500  1.41
Fe 0.625 0.625 0.125  2.46
Fe 0.125 0.125 0.625  2.17
Fe 0.875 0.875 0.375  2.17
Fe 0.375 0.375 0.875  2.46
Fe 0.249 0.249 0.252  2.27
Fe 0.751 0.751 0.748  2.27
Co 0.000 0.000 0.000  1.73

Output
The value obtained for the total magnetization is 16.80 μB/f.u. Its space group is R-3m. The value obtained for the density of states at the Fermi level is 0.87 states/eV per atom. For the volume, the calculation gives 91.07 Å³/cell.

x) Compound: MnFe6Co
Source: Alexandria via LeMat-Bulk
Functional: PBE
Structure: optimized geometry

Lattice parameters (Å, degrees): 6.410 6.409 4.532 45.03 45.00 60.01
Site moments in Bohr magnetons follow the coordinates.
Sites, in units of the cell vectors:
Mn 0.500 0.500 0.500  -2.28
Fe 0.000 0.500 0.748  2.40
Fe 0.752 0.000 0.748  2.39
Fe 0.500 0.248 0.252  2.39
Fe 0.248 0.000 0.252  2.39
Fe 0.000 0.500 0.252  2.40
Fe 0.500 0.752 0.748  2.39
Co 0.000 0.000 0.000  1.68

Output
The value obtained for the total magnetization is 13.60 μB/f.u. Its space group is Pm-3. The value obtained for the density of states at the Fermi level is 1.00 states/eV per atom. For the volume, the calculation gives 93.15 Å³/cell.

The least stable of them is x).